Compound: MnCd2Sb
Source: Alexandria via LeMat-Bulk
Functional: PBE
Structure: optimized geometry

abc: 5.8449 5.8449 5.8449
angles: 138.71 138.71 59.82
Closest atoms and distances in Å follow each position.
Fractional coordinates of all 4 atoms:
Cd 0.0000 0.0000 0.0000  4 Cd 2.91
Cd 0.5000 0.5000 0.0000  4 Cd 2.91
Sb 0.7500 0.2500 0.5000  4 Mn 2.91
Mn 0.2500 0.7500 0.5000  4 Sb 2.91

Results
VASP energy   -3.569 eV per atom
Formation energy from raw total energies   211.4 meV per atom